Entry 1:
Below is an optimized crystal structure of AcDySe2O, with properties calculated at the PBE level.

Lattice parameters (Å, degrees): 4.1671 4.1671 14.7754 90.00 90.00 90.00
Atoms (fractional coordinates):
1 Se 0.0000 0.5000 0.7052
2 O 0.5000 0.5000 0.5000
3 O 0.0000 0.0000 0.5000
4 Se 0.5000 0.0000 0.9102
5 Se 0.5000 0.0000 0.2948
6 Dy 0.5000 0.0000 0.1173
7 Ac 0.0000 0.5000 0.4109
8 Ac 0.5000 0.0000 0.5891
9 Dy 0.0000 0.5000 0.8827
10 Se 0.0000 0.5000 0.0898

Results
formation energy from raw total energies: -2.432 eV per atom
space-group type: P4/nmm (129)

Entry 2:
Below is an optimized crystal structure of Ac2Dy4Sn3O2, with properties calculated at the PBE level.

Lattice parameters (Å, degrees): 4.7481 4.7481 13.5133 100.12 100.12 90.00
Atoms (fractional coordinates):
1 Sn 0.1669 0.1669 0.3338
2 Dy 0.4208 0.9208 0.8416
3 Dy 0.5792 0.0792 0.1584
4 Sn 0.8331 0.8331 0.6662
5 Ac 0.3046 0.3046 0.6092
6 Sn 0.0000 0.0000 0.0000
7 Dy 0.0792 0.5792 0.1584
8 O 0.4110 0.4110 0.8220
9 Ac 0.6954 0.6954 0.3908
10 O 0.5890 0.5890 0.1780
11 Dy 0.9208 0.4208 0.8416

Results
formation energy from raw total energies: -1.533 eV per atom
space-group type: I4/mmm (139)

Q: Which raw total energy values were calculated for the entries above? A: -6.56, -5.95, in eV per atom.